Here is a crystal of Tb2InAu2 relaxed with PBEsol from Alexandria. Energies are from SCAN.

## Properties
calculated total energy = -3.97522 Ry/atom
energy relative to the elements = -5.2 eV per formula unit

The structure in CIF format:
```
data_Tb2InAu2
_chemical_formula_sum 'Tb4 In2 Au4'
_space_group_name_H-M_alt 'P 4/m b m'
_space_group_IT_number 127
_space_group_name_Hall '-P 4 2ab'
_cell_length_a 7.8292
_cell_length_b 7.8292
_cell_length_c 3.7019
_cell_angle_alpha 90.00
_cell_angle_beta 90.00
_cell_angle_gamma 90.00
loop_
_atom_site_label
_atom_site_fract_x
_atom_site_fract_y
_atom_site_fract_z
Tb1 0.1697 0.3303 0.0000
In1 0.0000 0.0000 0.5000
Au1 0.1284 0.6284 0.5000
```